1.
VASP calculation (GGA-PBEsol) on crystalline AlNi2Mo at its relaxed geometry.

a b c (Å): 2.748 4.192 4.372
angles (deg): 90.00 90.00 90.00
Space group Pmmm (No. 47)
Inequivalent atoms, fractional coordinates:
Al1 0.000 0.000 0.000 (multiplicity 1)
Ni1 0.000 0.500 0.500 (multiplicity 1)
Ni2 0.500 0.500 0.000 (multiplicity 1)
Mo1 0.500 0.000 0.500 (multiplicity 1)

The total energy comes out at -7.08 eV per atom. The calculation puts the formation energy at -0.0342 eV/atom. Its total moment is 0.0 μB/f.u.



2.
VASP calculation (GGA-PBEsol) on crystalline AlNi2Mo at its relaxed geometry.

a b c (Å): 8.520 2.626 4.537
angles (deg): 90.00 101.04 90.00
Space group Cm (No. 8)
Inequivalent atoms, fractional coordinates:
Al1 0.000 0.000 0.000 (multiplicity 2)
Ni1 0.244 0.500 0.181 (multiplicity 2)
Ni2 0.486 0.000 0.469 (multiplicity 2)
Mo1 0.236 0.000 0.665 (multiplicity 2)

The total energy comes out at -7.23 eV per atom. The calculation puts the formation energy at -0.1847 eV/atom. Its total moment is 0.0 μB/f.u.